A plane-wave DFT calculation with PBE was carried out for a relaxed YCu2W crystal.

a = 2.9269 Å, b = 2.9269 Å, c = 27.5794 Å
α = 90.00°, β = 90.00°, γ = 120.00°
Space group R3m (No. 160, hexagonal axes)
One atom of each set of equivalent atoms:
Y 0.0000 0.0000 0.0000 (multiplicity 3)
Cu 0.0000 0.0000 0.2431 (multiplicity 3)
Cu 0.0000 0.0000 0.5078 (multiplicity 3)
W 0.0000 0.0000 0.7654 (multiplicity 3)

Calculated values
- magnetization (Bohr magnetons per cell) = 0.0
- V (Å³ per atom) = 17.05
- raw total energy (eV/atom) = -6.338
- D(E_F) (states/eV per cell) = 13.22
- mass density (kg/m3) = 9735
- energy relative to the elements (eV per formula unit) = 2.3
- ΔE to the lowest computed polymorph (kcal/mol of atoms) = 6.21